Entry 1:
{
  "formula": "Te2Br",
  "functional": "GGA-PBE",
  "state": "optimized geometry",
  "lattice_angstrom": [[-1.8373, 2.0242, 6.8858], [1.8373, -2.0242, 6.8858], [1.8373, 2.0242, -6.8858]],
  "species": ["Te", "Te", "Br"],
  "frac_coords": [[0.0000, 0.0000, 0.0000], [0.6469, 0.1469, 0.5000], [0.3053, 0.3053, 0.0000]],
  "e_tot_ev_per_cell": -8.300,
  "n_ef_per_ev_fu": 0.9,
  "volume_a3_per_atom": 34.15,
  "relative_energy_mev_per_atom": 45,
  "formation_energy_uncorrected_ev_per_fu": -0.34
}

***

Entry 2:
{
  "formula": "Te2Br",
  "functional": "GGA-PBE",
  "state": "optimized geometry",
  "lattice_angstrom": [[4.1113, 0.0000, 0.0000], [-2.0045, 7.3634, 0.0000], [-0.0519, -2.0696, 7.8243]],
  "species": ["Te", "Te", "Te", "Te", "Br", "Br"],
  "frac_coords": [[0.0000, 0.0000, 0.0000], [0.1678, 0.3475, 0.3407], [0.4581, 0.9088, 0.2300], [0.7511, 0.5661, 0.2235], [0.2423, 0.5482, 0.6592], [0.5534, 0.1253, 0.8019]],
  "e_tot_ev_per_cell": -16.421,
  "volume_a3_per_atom": 39.48,
  "relative_energy_mev_per_atom": 75,
  "formation_energy_uncorrected_ev_per_fu": -0.25
}

***

Entry 3:
{
  "formula": "Te2Br",
  "functional": "GGA-PBE",
  "state": "optimized geometry",
  "lattice_angstrom": [[-1.4968, 4.1491, 4.7034], [1.4968, -4.1491, 4.7034], [1.4968, 4.1491, -4.7034]],
  "species": ["Te", "Te", "Br"],
  "frac_coords": [[0.1449, 0.1449, 0.0000], [0.8551, 0.8551, 0.0000], [0.5000, 0.5000, 0.0000]],
  "e_tot_ev_per_cell": -7.834,
  "n_ef_per_ev_fu": 1.4,
  "volume_a3_per_atom": 38.95,
  "relative_energy_mev_per_atom": 200,
  "formation_energy_uncorrected_ev_per_fu": 0.12
}

***

Entry 4:
{
  "formula": "TeBr3",
  "functional": "GGA-PBE",
  "state": "optimized geometry",
  "lattice_angstrom": [[-2.4598, 2.4598, 4.3106], [2.4598, -2.4598, 4.3106], [2.4598, 2.4598, -4.3106]],
  "species": ["Te", "Br", "Br", "Br"],
  "frac_coords": [[0.0000, 0.0000, 0.0000], [0.2500, 0.7500, 0.5000], [0.5000, 0.5000, 0.0000], [0.7500, 0.2500, 0.5000]],
  "e_tot_ev_per_cell": -6.660,
  "n_ef_per_ev_fu": 3.5,
  "volume_a3_per_atom": 26.08,
  "relative_energy_mev_per_atom": 688,
  "formation_energy_uncorrected_ev_per_fu": 1.50
}

***

Entry 5:
{
  "formula": "Te5Br",
  "functional": "GGA-PBE",
  "state": "optimized geometry",
  "lattice_angstrom": [[4.1546, 0.0000, 0.0000], [0.0000, 1.8811, 12.4229], [0.0000, -1.8811, 12.4229]],
  "species": ["Te", "Te", "Te", "Te", "Te", "Br"],
  "frac_coords": [[0.0000, 0.0000, 0.0000], [0.0000, 0.3148, 0.3148], [0.0000, 0.6633, 0.6633], [0.5000, 0.0795, 0.0795], [0.5000, 0.7537, 0.7537], [0.5000, 0.4179, 0.4179]],
  "e_tot_ev_per_cell": -16.672,
  "n_ef_per_ev_fu": 1.8,
  "volume_a3_per_atom": 32.36,
  "relative_energy_mev_per_atom": 117,
  "formation_energy_uncorrected_ev_per_fu": 0.71
}

***

Entry 6:
{
  "formula": "TeBr2",
  "functional": "GGA-PBE",
  "state": "optimized geometry",
  "lattice_angstrom": [[1.7601, -13.7025, 0.0000], [1.7601, 13.7025, 0.0000], [0.0000, 0.0000, 4.3776]],
  "species": ["Te", "Te", "Br", "Br", "Br", "Br"],
  "frac_coords": [[0.1262, 0.8738, 0.7500], [0.8738, 0.1262, 0.2500], [0.1887, 0.8113, 0.2500], [0.4298, 0.5702, 0.7500], [0.5702, 0.4298, 0.2500], [0.8113, 0.1887, 0.7500]],
  "e_tot_ev_per_cell": -12.652,
  "n_ef_per_ev_fu": 2.5,
  "volume_a3_per_atom": 35.19,
  "relative_energy_mev_per_atom": 322,
  "formation_energy_uncorrected_ev_per_fu": 0.16
}

***

What is the formula in the second record? Te2Br